(1)
# Sr8La SCAN single point on PBEsol structure
# Mass density: 3155 kg/m³
# ΔH_f (0 K): 0.06 eV/atom
# Total magnetic moment: 0.8 μB per formula unit
# Total energy: -24.53 eV/atom
data_Sr8La
_chemical_formula_sum 'Sr8 La1'
_space_group_name_H-M_alt 'P 1'
_space_group_IT_number 1
_cell_length_a 9.131
_cell_length_b 9.131
_cell_length_c 9.131
_cell_angle_alpha 96.04
_cell_angle_beta 96.04
_cell_angle_gamma 142.13
loop_
_space_group_symop_operation_xyz
'x,y,z'
loop_
_atom_site_label
_atom_site_type_symbol
_atom_site_fract_x
_atom_site_fract_y
_atom_site_fract_z
Sr1 Sr 0.000 0.328 0.328
Sr2 Sr 0.000 0.672 0.672
Sr3 Sr 0.328 0.000 0.328
Sr4 Sr 0.338 0.338 0.676
Sr5 Sr 0.338 0.662 0.000
Sr6 Sr 0.662 0.338 0.000
Sr7 Sr 0.662 0.662 0.324
Sr8 Sr 0.672 0.000 0.672
La1 La 0.000 0.000 0.000


(2)
# SrLa5 SCAN single point on PBEsol structure
# Mass density: 5937 kg/m³
# ΔH_f (0 K): 0.08 eV/atom
# Total magnetic moment: 0.0 μB per formula unit
# Total energy: -39.55 eV/atom
data_SrLa5
_chemical_formula_sum 'Sr1 La5'
_space_group_name_H-M_alt 'P 1'
_space_group_IT_number 1
_cell_length_a 6.034
_cell_length_b 9.984
_cell_length_c 9.984
_cell_angle_alpha 21.33
_cell_angle_beta 90.00
_cell_angle_gamma 90.00
loop_
_space_group_symop_operation_xyz
'x,y,z'
loop_
_atom_site_label
_atom_site_type_symbol
_atom_site_fract_x
_atom_site_fract_y
_atom_site_fract_z
Sr1 Sr 0.000 0.000 0.000
La1 La 0.000 0.326 0.326
La2 La 0.000 0.679 0.679
La3 La 0.500 0.219 0.219
La4 La 0.500 0.571 0.571
La5 La 0.500 0.887 0.887


(3)
# SrLa2 SCAN single point on PBEsol structure
# Mass density: 5284 kg/m³
# ΔH_f (0 K): 0.14 eV/atom
# Total magnetic moment: 0.0 μB per formula unit
# Total energy: -36.03 eV/atom
# Energy relative to the lowest polymorph listed for this composition: 59.1 meV/atom
data_SrLa2
_chemical_formula_sum 'Sr1 La2'
_space_group_name_H-M_alt 'P 1'
_space_group_IT_number 1
_cell_length_a 6.834
_cell_length_b 6.834
_cell_length_c 6.834
_cell_angle_alpha 148.70
_cell_angle_beta 135.80
_cell_angle_gamma 55.15
loop_
_space_group_symop_operation_xyz
'x,y,z'
loop_
_atom_site_label
_atom_site_type_symbol
_atom_site_fract_x
_atom_site_fract_y
_atom_site_fract_z
Sr1 Sr 0.000 0.000 0.000
La1 La 0.309 0.309 0.000
La2 La 0.691 0.691 0.000


(4)
# SrLaTa2 SCAN single point on PBEsol structure
# Mass density: 9211 kg/m³
# ΔH_f (0 K): 0.75 eV/atom
# Total magnetic moment: 0.0 μB per formula unit
# Total energy: -48.89 eV/atom
data_SrLaTa2
_chemical_formula_sum 'Sr1 La1 Ta2'
_space_group_name_H-M_alt 'P 1'
_space_group_IT_number 1
_cell_length_a 6.401
_cell_length_b 6.401
_cell_length_c 6.401
_cell_angle_alpha 149.38
_cell_angle_beta 126.73
_cell_angle_gamma 62.70
loop_
_space_group_symop_operation_xyz
'x,y,z'
loop_
_atom_site_label
_atom_site_type_symbol
_atom_site_fract_x
_atom_site_fract_y
_atom_site_fract_z
Sr1 Sr 0.000 0.000 0.000
La1 La 0.705 0.205 0.500
Ta1 Ta 0.271 0.771 0.500
Ta2 Ta 0.448 0.448 0.000


(5)
# Sr2LaTa SCAN single point on PBEsol structure
# Mass density: 6586 kg/m³
# ΔH_f (0 K): 0.93 eV/atom
# Total magnetic moment: 2.1 μB per formula unit
# Total energy: -37.63 eV/atom
data_Sr2LaTa
_chemical_formula_sum 'Sr2 La1 Ta1'
_space_group_name_H-M_alt 'P 1'
_space_group_IT_number 1
_cell_length_a 4.787
_cell_length_b 4.797
_cell_length_c 5.436
_cell_angle_alpha 90.00
_cell_angle_beta 90.00
_cell_angle_gamma 90.00
loop_
_space_group_symop_operation_xyz
'x,y,z'
loop_
_atom_site_label
_atom_site_type_symbol
_atom_site_fract_x
_atom_site_fract_y
_atom_site_fract_z
Sr1 Sr 0.000 0.000 0.000
Sr2 Sr 0.500 0.500 0.000
La1 La 0.000 0.500 0.500
Ta1 Ta 0.500 0.000 0.500


(6)
# SrLa2Ta SCAN single point on PBEsol structure
# Mass density: 7635 kg/m³
# ΔH_f (0 K): 0.59 eV/atom
# Total magnetic moment: 0.7 μB per formula unit
# Total energy: -43.17 eV/atom
# Energy relative to the lowest polymorph listed for this composition: 0.0 meV/atom
data_SrLa2Ta
_chemical_formula_sum 'Sr1 La2 Ta1'
_space_group_name_H-M_alt 'P 1'
_space_group_IT_number 1
_cell_length_a 5.486
_cell_length_b 5.486
_cell_length_c 6.912
_cell_angle_alpha 96.19
_cell_angle_beta 96.19
_cell_angle_gamma 35.09
loop_
_space_group_symop_operation_xyz
'x,y,z'
loop_
_atom_site_label
_atom_site_type_symbol
_atom_site_fract_x
_atom_site_fract_y
_atom_site_fract_z
Sr1 Sr 0.000 0.000 0.000
La1 La 0.235 0.235 0.708
La2 La 0.765 0.765 0.292
Ta1 Ta 0.500 0.500 0.500


(7)
# SrLa2Ta SCAN single point on PBEsol structure
# Mass density: 7958 kg/m³
# ΔH_f (0 K): 0.64 eV/atom
# Total magnetic moment: 1.2 μB per formula unit
# Total energy: -43.12 eV/atom
# Energy relative to the lowest polymorph listed for this composition: 49.8 meV/atom
data_SrLa2Ta
_chemical_formula_sum 'Sr1 La2 Ta1'
_space_group_name_H-M_alt 'P 1'
_space_group_IT_number 1
_cell_length_a 5.438
_cell_length_b 5.438
_cell_length_c 5.438
_cell_angle_alpha 119.81
_cell_angle_beta 119.81
_cell_angle_gamma 90.33
loop_
_space_group_symop_operation_xyz
'x,y,z'
loop_
_atom_site_label
_atom_site_type_symbol
_atom_site_fract_x
_atom_site_fract_y
_atom_site_fract_z
Sr1 Sr 0.000 0.000 0.000
La1 La 0.250 0.750 0.500
La2 La 0.750 0.250 0.500
Ta1 Ta 0.500 0.500 0.000


(8)
# SrLaTaTi2 SCAN single point on PBEsol structure
# Mass density: 6740 kg/m³
# ΔH_f (0 K): 1.33 eV/atom
# Total magnetic moment: 0.0 μB per formula unit
# Total energy: -31.48 eV/atom
data_SrLaTaTi2
_chemical_formula_sum 'Sr1 La1 Ta1 Ti2'
_space_group_name_H-M_alt 'P 1'
_space_group_IT_number 1
_cell_length_a 4.938
_cell_length_b 4.938
_cell_length_c 5.084
_cell_angle_alpha 90.00
_cell_angle_beta 90.00
_cell_angle_gamma 90.00
loop_
_space_group_symop_operation_xyz
'x,y,z'
loop_
_atom_site_label
_atom_site_type_symbol
_atom_site_fract_x
_atom_site_fract_y
_atom_site_fract_z
Sr1 Sr 0.000 0.000 0.000
La1 La 0.500 0.500 0.500
Ta1 Ta 0.500 0.500 0.000
Ti1 Ti 0.000 0.500 0.500
Ti2 Ti 0.500 0.000 0.500


(9)
# SrLaTc SCAN single point on PBEsol structure
# Mass density: 6733 kg/m³
# ΔH_f (0 K): 1.20 eV/atom
# Total magnetic moment: 0.0 μB per formula unit
# Total energy: -32.28 eV/atom
# Energy relative to the lowest polymorph listed for this composition: 0.0 meV/atom
data_SrLaTc
_chemical_formula_sum 'Sr1 La1 Tc1'
_space_group_name_H-M_alt 'P 1'
_space_group_IT_number 1
_cell_length_a 4.837
_cell_length_b 4.837
_cell_length_c 4.837
_cell_angle_alpha 60.00
_cell_angle_beta 60.00
_cell_angle_gamma 60.00
loop_
_space_group_symop_operation_xyz
'x,y,z'
loop_
_atom_site_label
_atom_site_type_symbol
_atom_site_fract_x
_atom_site_fract_y
_atom_site_fract_z
Sr1 Sr 0.000 0.000 0.000
La1 La 0.750 0.750 0.750
Tc1 Tc 0.500 0.500 0.500


(10)
# Sr2LaTe SCAN single point on PBEsol structure
# Mass density: 4808 kg/m³
# Total magnetic moment: 0.5 μB per formula unit
# Total energy: -31.93 eV/atom
# E_form (uncorrected): -0.70 eV/atom
data_Sr2LaTe
_chemical_formula_sum 'Sr2 La1 Te1'
_space_group_name_H-M_alt 'P 1'
_space_group_IT_number 1
_cell_length_a 3.981
_cell_length_b 3.981
_cell_length_c 9.627
_cell_angle_alpha 90.00
_cell_angle_beta 90.00
_cell_angle_gamma 90.00
loop_
_space_group_symop_operation_xyz
'x,y,z'
loop_
_atom_site_label
_atom_site_type_symbol
_atom_site_fract_x
_atom_site_fract_y
_atom_site_fract_z
Sr1 Sr 0.000 0.000 0.197
Sr2 Sr 0.000 0.000 0.803
La1 La 0.500 0.500 0.500
Te1 Te 0.500 0.500 0.000


Among the records above, which one has the lowest total energy? SrLaTa2


mass density of number 6 (SrLa2Ta)? 7635 kg/m³


Number 4 is which compound? SrLaTa2